Computed, not measured: a relaxed structure of CdCoIr2 at the GGA-PBE level of DFT.

The structure in CIF format:
```
data_CdCoIr2
_symmetry_space_group_name_H-M 'C 1 m 1'
_symmetry_Int_Tables_number 8
_cell_length_a 9.030
_cell_length_b 2.787
_cell_length_c 4.872
_cell_angle_alpha 90.00
_cell_angle_beta 100.21
_cell_angle_gamma 90.00
loop_
_symmetry_equiv_pos_as_xyz
'x,y,z'
'x,-y,z'
'x+1/2,y+1/2,z'
'x+1/2,-y+1/2,z'
loop_
_atom_site_label
_atom_site_fract_x
_atom_site_fract_y
_atom_site_fract_z
_atom_site_occupancy
Cd1 0.000 0.000 0.000 1
Co1 0.242 0.000 0.747 1
Ir1 0.005 0.500 0.506 1
Ir2 0.261 0.500 0.309 1
```

=====

Computed, not measured: a relaxed structure of Cd2CoIr at the GGA-PBE level of DFT.

The structure in CIF format:
```
data_Cd2CoIr
_symmetry_space_group_name_H-M 'P 1 m 1'
_symmetry_Int_Tables_number 6
_cell_length_a 2.899
_cell_length_b 2.899
_cell_length_c 7.935
_cell_angle_alpha 90.00
_cell_angle_beta 90.18
_cell_angle_gamma 90.00
loop_
_symmetry_equiv_pos_as_xyz
'x,y,z'
'x,-y,z'
loop_
_atom_site_label
_atom_site_fract_x
_atom_site_fract_y
_atom_site_fract_z
_atom_site_occupancy
Cd1 0.000 0.000 0.000 1
Cd2 0.496 0.500 0.315 1
Co1 0.997 0.000 0.554 1
Ir1 0.499 0.500 0.741 1
```

=====

Computed, not measured: a relaxed structure of Cd2CoIr at the GGA-PBE level of DFT.

The structure in CIF format:
```
data_Cd2CoIr
_symmetry_space_group_name_H-M 'F m -3 m'
_symmetry_Int_Tables_number 225
_symmetry_space_group_name_Hall '-F 4 2 3'
_cell_length_a 6.403
_cell_length_b 6.403
_cell_length_c 6.403
_cell_angle_alpha 90.00
_cell_angle_beta 90.00
_cell_angle_gamma 90.00
loop_
_atom_site_label
_atom_site_fract_x
_atom_site_fract_y
_atom_site_fract_z
_atom_site_occupancy
Cd1 0.250 0.250 0.250 1
Co1 0.000 0.000 0.000 1
Ir1 0.000 0.000 0.500 1
```

=====

Formation enthalpy at 0 K? In order: 0.243, 0.133, 0.362 eV per atom.